Record 1
Density functional theory data (PBE-GGA) for a relaxed Ba8NiP3Br4 crystal. Values from VASP.

```
&SYSTEM
  ibrav = 0, nat = 16, ntyp = 4
/
ATOMIC_SPECIES
Ba 137.33 Ba.upf
P 30.97 P.upf
Br 79.90 Br.upf
Ni 58.69 Ni.upf
CELL_PARAMETERS angstrom
9.301 0.000 0.000
0.000 9.636 0.208
-4.650 -4.661 6.658
ATOMIC_POSITIONS angstrom
Ba 7.012 2.693 0.236
Ba 4.650 4.670 3.305
Ba 4.650 0.314 3.459
Ba 0.000 4.661 3.407
Ba -2.361 2.283 6.630
Ba 2.361 2.283 6.630
Ba 2.289 2.693 0.236
Ba 0.000 0.306 3.561
P 2.325 2.488 3.433
P -2.325 2.488 3.433
P 4.650 4.818 0.104
Br 0.000 0.000 0.000
Br 2.325 -2.330 3.329
Br -2.325 -2.330 3.329
Br 4.650 0.000 0.000
Ni 0.000 4.818 0.104
```

Raw total energy = -65.55 eV for the cell shown
Space-group type = C2/m, No. 12
Formation energy without anion corrections = -1.341 eV per atom

***

Record 2
Density functional theory data (PBE-GGA) for a relaxed La6GaHg2 crystal. Values from VASP.

```
&SYSTEM
  ibrav = 0, nat = 18, ntyp = 3
/
ATOMIC_SPECIES
Ga 69.72 Ga.upf
Hg 200.59 Hg.upf
La 138.91 La.upf
CELL_PARAMETERS angstrom
-8.962 -1.402 0.965
4.034 -7.882 -2.196
3.284 3.246 7.867
ATOMIC_POSITIONS angstrom
Ga 0.000 0.000 0.000
Ga 3.659 -2.318 2.836
Hg -1.415 -5.307 0.198
Hg -2.017 0.655 3.137
Hg -0.230 -0.731 6.439
Hg -3.661 1.189 5.696
La 0.806 -0.843 3.129
La 0.629 -3.906 5.446
La -2.274 -2.132 1.191
La -2.781 -2.023 5.068
La 3.563 -5.552 3.449
La 2.958 0.481 6.027
La -5.207 -0.486 3.188
La 4.362 -3.096 5.885
La -4.603 -6.519 0.610
La 1.137 -4.015 1.569
La -6.007 -2.942 0.752
La -2.451 -5.195 3.508
```

Raw total energy = -71.69 eV for the cell shown
Formation energy from the elements = -294 meV per atom
Energy relative to the lowest polymorph listed for this composition = 0.046 eV/atom
Space-group type = Immm, No. 71

***

Q: The highest raw total energy belongs to which entry?
A: Ba8NiP3Br4

***

Q: Among the records above, which one has the highest raw total energy?
A: Ba8NiP3Br4

***

Q: Look up the raw total energy of the second one.
A: -71.69 eV for the cell shown

***

Q: Which value of raw total energy does entry 2 give?
A: -71.69 eV for the cell shown